## Fe2BiIrPd (PBE)

Data for crystalline Fe2BiIrPd at its relaxed geometry.

```
5
Lattice="4.7160 0.0000 0.0000 0.0000 4.9682 0.0000 0.0000 0.0000 4.7160" Properties=species:S:1:pos:R:3 pbc="T T T"
Fe 0.0000 0.0000 2.3580
Fe 2.3580 0.0000 0.0000
Bi 0.0000 0.0000 0.0000
Ir 0.0000 2.4841 0.0000
Pd 2.3580 2.4841 2.3580
```

**Symmetry**: P4/mmm
**Final energy**: -4.817 eV per atom
**Magnetization**: 0.0101 μB per atom


## FeBiIrPd2 (PBE)

Data for crystalline FeBiIrPd2 at its relaxed geometry.

```
5
Lattice="4.9373 0.0000 0.0000 0.0000 4.5598 0.0000 0.0000 0.0000 4.9373" Properties=species:S:1:pos:R:3 pbc="T T T"
Pd 0.0000 0.0000 2.4686
Pd 2.4686 0.0000 0.0000
Ir 0.0000 0.0000 0.0000
Fe 0.0000 2.2799 0.0000
Bi 2.4686 2.2799 2.4686
```

**Symmetry**: P4/mmm
**Final energy**: -5.443 eV per atom
**Magnetization**: 0.8251 μB per atom